Here is an optimized crystal structure of DyIn6 from the Alexandria database. Energies are from GGA-PBE.

a b c (Å): 7.962 7.962 7.962
angles (deg): 90.00 90.00 90.00
Space group Im-3m (No. 229)
Inequivalent atoms, fractional coordinates:
Dy (0.000, 0.000, 0.000) x2
In (0.000, 0.250, 0.500) x12

=====

Here is an optimized crystal structure of Sc2PaNb from the Alexandria database. Energies are from GGA-PBE.

a b c (Å): 3.1431 3.1431 31.4852
angles (deg): 90.00 90.00 120.00
Space group R-3m (No. 166, hexagonal axes)
Inequivalent atoms, fractional coordinates:
Sc (0.0000, 0.0000, 0.2442) x6
Pa (0.0000, 0.0000, 0.0000) x3
Nb (0.0000, 0.0000, 0.5000) x3

=====

For reference, energy relative to the elements by record: 480, 172 meV/atom.
For reference, E by record: -2.525, -7.885 eV/atom.